Record 1
{"formula": "SiAg4W", "functional": "PBE", "state": "optimized geometry", "rho_g_cm3": 9.6, "formation_energy_uncorrected_ev_per_atom": 0.95, "lattice": [[0.000, 3.818, 3.818], [3.818, 0.000, 3.818], [3.818, 3.818, 0.000]], "species": ["Si", "Ag", "Ag", "Ag", "Ag", "W"], "fractional_positions": [[0.000, 0.000, 0.000], [0.375, 0.375, 0.375], [0.375, 0.375, 0.874], [0.375, 0.874, 0.375], [0.874, 0.375, 0.375], [0.750, 0.750, 0.750]]}


Record 2
{"formula": "SiAgW2", "functional": "PBE", "state": "optimized geometry", "rho_g_cm3": 13.0, "formation_energy_uncorrected_ev_per_atom": 0.31, "lattice": [[1.622, -2.258, 0.000], [1.622, 2.258, 0.000], [0.000, 0.000, 8.792]], "species": ["Si", "Ag", "W", "W"], "fractional_positions": [[0.000, 0.000, 0.000], [0.500, 0.500, 0.253], [0.000, 0.000, 0.527], [0.500, 0.500, 0.775]]}


Record 3
{"formula": "SiAg2W", "functional": "PBE", "state": "optimized geometry", "rho_g_cm3": 11.0, "formation_energy_uncorrected_ev_per_atom": 0.49, "lattice": [[3.770, 0.000, 0.000], [0.000, 3.770, 0.000], [0.000, 0.000, 4.536]], "species": ["Si", "Ag", "Ag", "W"], "fractional_positions": [[0.000, 0.000, 0.000], [0.000, 0.500, 0.500], [0.500, 0.000, 0.500], [0.500, 0.500, 0.000]]}


Record 4
{"formula": "SiAgW2", "functional": "PBE", "state": "optimized geometry", "rho_g_cm3": 13.4, "formation_energy_uncorrected_ev_per_atom": 0.51, "lattice": [[2.702, -4.201, 0.000], [2.702, 4.201, 0.000], [0.000, 0.000, 2.741]], "species": ["Si", "Ag", "W", "W"], "fractional_positions": [[0.000, 0.000, 0.000], [0.500, 0.500, 0.000], [0.000, 0.500, 0.500], [0.500, 0.000, 0.500]]}


Record 5
{"formula": "SiAg2W", "functional": "PBE", "state": "optimized geometry", "rho_g_cm3": 11.1, "formation_energy_uncorrected_ev_per_atom": 0.61, "lattice": [[0.000, 3.178, 3.178], [3.178, 0.000, 3.178], [3.178, 3.178, 0.000]], "species": ["Si", "Ag", "Ag", "W"], "fractional_positions": [[0.000, 0.000, 0.000], [0.500, 0.500, 0.500], [0.750, 0.750, 0.750], [0.250, 0.250, 0.250]]}


Record 6
{"formula": "SiAgW2", "functional": "PBE", "state": "optimized geometry", "rho_g_cm3": 13.3, "formation_energy_uncorrected_ev_per_atom": 0.39, "lattice": [[1.660, -2.190, 0.000], [1.660, 2.190, 0.000], [0.000, 0.000, 8.625]], "species": ["Si", "Ag", "W", "W"], "fractional_positions": [[0.000, 0.000, 0.000], [0.000, 0.000, 0.500], [0.500, 0.500, 0.225], [0.500, 0.500, 0.775]]}